[1]
Density functional theory data (PBEsol) for crystalline Nb2CrBiRu at its relaxed geometry.

## Properties
The density of states at the Fermi level is 1.13 states/eV per atom. The space group is P4/mmm, No. 123. The calculated total energy comes out at -8.3132 eV/atom. The calculation puts the calculated formation energy at 4.8 eV per formula unit.

Unit cell a=4.5773 b=4.8027 c=4.8027 alpha=90.00 beta=90.00 gamma=90.00
Last column: nearest neighbours and their distance in Å.
Sites, in units of the cell vectors:
1 Nb 0.0000 0.5000 0.0000  2 Ru 2.40
2 Ru 0.0000 0.0000 0.0000  2 Cr 2.29, 4 Nb 2.40
3 Bi 0.5000 0.5000 0.5000  8 Nb 3.32, 4 Cr 3.40
4 Cr 0.5000 0.0000 0.0000  2 Ru 2.29
5 Nb 0.0000 0.0000 0.5000  2 Ru 2.40


[2]
Density functional theory data (PBEsol) for crystalline KGeAu3 at its relaxed geometry.

## Properties
The density of states at the Fermi level is 0.14 states/eV per atom. The space group is Pm-3m, No. 221. The calculated total energy comes out at -3.6258 eV/atom. The calculation puts the calculated formation energy at -0.3 eV per formula unit.

Unit cell a=4.9469 b=4.9469 c=4.9469 alpha=90.00 beta=90.00 gamma=90.00
Last column: nearest neighbours and their distance in Å.
Sites, in units of the cell vectors:
1 Au 0.0000 0.0000 0.5000  2 Ge 2.47
2 Ge 0.0000 0.0000 0.0000  6 Au 2.47
3 Au 0.0000 0.5000 0.0000  2 Ge 2.47
4 K 0.5000 0.5000 0.5000  12 Au 3.50
5 Au 0.5000 0.0000 0.0000  2 Ge 2.47


[3]
Density functional theory data (PBEsol) for crystalline Li3Mg at its relaxed geometry.

## Properties
The density of states at the Fermi level is 0.54 states/eV per atom. The space group is Pm-3m, No. 221. The calculated total energy comes out at -1.9320 eV/atom. The calculation puts the calculated formation energy at -0.1 eV per formula unit.

Unit cell a=4.2870 b=4.2870 c=4.2870 alpha=90.00 beta=90.00 gamma=90.00
Last column: nearest neighbours and their distance in Å.
Sites, in units of the cell vectors:
1 Li 0.5000 0.0000 0.0000  8 Li 3.03, 4 Mg 3.03
2 Mg 0.5000 0.5000 0.5000  12 Li 3.03
3 Li 0.0000 0.0000 0.5000  8 Li 3.03, 4 Mg 3.03
4 Li 0.0000 0.5000 0.0000  8 Li 3.03, 4 Mg 3.03


[4]
Density functional theory data (PBEsol) for crystalline MgH2 at its relaxed geometry.

## Properties
The density of states at the Fermi level is 0.00 states/eV per atom. The space group is Pbca, No. 61. The calculated total energy comes out at -2.9268 eV/atom.

Unit cell a=4.6945 b=4.8844 c=9.2114 alpha=90.00 beta=90.00 gamma=90.00
Last column: nearest neighbours and their distance in Å.
Sites, in units of the cell vectors:
1 H 0.1843 0.6084 0.3035  3 Mg 1.90-2.12
2 Mg 0.2694 0.4688 0.1161  7 H 1.90-2.12
3 H 0.9936 0.2587 0.9728  4 Mg 1.98-2.11
4 H 0.9936 0.7587 0.5272  4 Mg 1.98-2.11
5 Mg 0.7694 0.0312 0.1161  7 H 1.90-2.12
6 H 0.0064 0.7413 0.0272  4 Mg 1.98-2.11
7 H 0.4936 0.7413 0.5272  4 Mg 1.98-2.11
8 H 0.6843 0.8916 0.3035  3 Mg 1.90-2.12
9 Mg 0.7306 0.5312 0.8839  7 H 1.90-2.12
10 H 0.4936 0.2413 0.9728  4 Mg 1.98-2.11
11 H 0.8157 0.3916 0.6965  3 Mg 1.90-2.12
12 H 0.1843 0.1084 0.1965  3 Mg 1.90-2.12
13 H 0.0064 0.2413 0.4728  4 Mg 1.98-2.11
14 Mg 0.7306 0.0312 0.6161  7 H 1.90-2.12
15 H 0.3157 0.6084 0.8035  3 Mg 1.90-2.12
16 Mg 0.2306 0.4688 0.6161  7 H 1.90-2.12
17 H 0.8157 0.8916 0.8035  3 Mg 1.90-2.12
18 Mg 0.2306 0.9688 0.8839  7 H 1.90-2.12
19 H 0.6843 0.3916 0.1965  3 Mg 1.90-2.12
20 H 0.3157 0.1084 0.6965  3 Mg 1.90-2.12
21 H 0.5064 0.2587 0.4728  4 Mg 1.98-2.11
22 Mg 0.7694 0.5312 0.3839  7 H 1.90-2.12
23 H 0.5064 0.7587 0.0272  4 Mg 1.98-2.11
24 Mg 0.2694 0.9688 0.3839  7 H 1.90-2.12